(1)
Computed, not measured: SrMnMo after structural relaxation at the GGA-PBE level of DFT.

```
SrMnMo
1.0
-0.8583 -1.6203 6.1708
-3.8952 -3.8484 3.3850
3.8997 0.9723 -5.0287
Sr Mn Mo
1 1 1
Cartesian
-1.5906 -1.8299 3.1975 Sr
-0.2251 -0.2589 0.4524 Mn
-2.9378 -3.3798 5.9058 Mo
```

Properties
As for the formation energy: 626 meV per atom. The calculation puts the relative energy among the computed polymorphs at 0.000 eV per atom.


(2)
Computed, not measured: CdSbO4 after structural relaxation at the GGA-PBE level of DFT.

```
CdSbO4
1.0
3.1997 0.0000 0.0000
0.0000 5.0927 0.1768
0.0000 0.1854 5.0924
O Sb Cd
4 1 1
Cartesian
1.5999 1.5808 3.6948 O
0.0001 4.3594 4.3519 O
3.1996 0.9187 0.9173 O
1.5999 3.6972 1.5744 O
1.5998 0.0000 0.0000 Sb
0.0000 2.6390 2.6346 Cd
```

Properties
The calculation puts the relative energy among the computed polymorphs at 0.000 eV per atom. The raw formation energy is -1.00 eV/atom.


(3)
Computed, not measured: SrTmAlO4 after structural relaxation at the GGA-PBE level of DFT.

```
SrTmAlO4
1.0
5.5739 0.0000 0.0358
0.0000 5.6967 0.0000
-2.1438 0.0000 6.4477
Al O Tm Sr
2 8 2 2
Cartesian
2.6673 1.4242 4.3718 Al
0.7628 4.2725 2.1117 Al
3.8501 0.1006 4.6013 O
-0.4200 5.5961 1.8822 O
-0.4200 2.9490 1.8822 O
3.8501 2.7477 4.6013 O
2.0305 1.4242 2.7423 O
2.2075 4.2725 1.1038 O
1.3996 4.2725 3.7412 O
1.2226 1.4242 5.3796 O
3.5060 4.2725 3.0155 Tm
-0.0760 1.4242 3.4680 Tm
1.9714 4.2725 6.0464 Sr
1.4587 1.4242 0.4370 Sr
```

Properties
The raw formation energy is -3.13 eV/atom.


(4)
Computed, not measured: Eu3Sn5I12 after structural relaxation at the GGA-PBE level of DFT.

```
Eu3Sn5I12
1.0
-13.4211 -7.1087 -7.3918
-2.2183 0.1554 16.7437
1.7759 15.8391 -5.5914
I Sn Eu
48 20 12
Cartesian
-5.6108 9.8739 8.7977 I
-8.4212 4.5787 -4.5003 I
-13.1030 -4.9154 8.9304 I
-8.1961 10.0368 -0.0658 I
-7.6864 -1.7582 -1.1297 I
-5.3831 6.3772 -0.2701 I
-5.6673 -1.1509 3.8263 I
-8.2916 6.5270 4.0183 I
-0.8501 11.1558 6.2022 I
-6.1771 10.6441 4.8902 I
-2.8791 1.7072 13.9296 I
-1.1698 10.2567 -3.8287 I
-5.1471 2.2861 -4.0453 I
-0.6753 6.5127 -0.2776 I
-9.8983 -4.2597 -3.3730 I
-10.6964 -2.3762 3.5459 I
-6.5383 10.6622 -3.6773 I
-12.7189 5.9567 2.8261 I
-4.8124 6.2949 -4.0381 I
-9.5520 8.9862 -5.3020 I
-7.3252 -1.7762 7.4378 I
-10.9843 7.1787 -10.1691 I
-2.5890 0.3928 5.4608 I
-5.4423 4.3072 8.2608 I
-11.3077 3.5858 -8.9377 I
-4.3115 -0.1003 9.0625 I
-3.1670 11.2621 0.2145 I
-4.9362 4.3572 4.4830 I
-1.1446 2.9292 0.9344 I
-0.7604 13.8013 -5.1699 I
-8.2526 -0.9879 -5.0372 I
-13.1882 2.3732 4.0381 I
-0.1747 12.8541 1.9587 I
-10.7801 0.3156 -0.3179 I
-12.6936 -1.3708 7.5892 I
-3.0834 8.5703 4.0784 I
-5.5719 2.3589 -0.2578 I
-11.2745 8.4931 -1.7003 I
-2.5558 5.3001 12.6982 I
-13.6887 -3.9682 1.8018 I
-9.0511 2.5910 7.7986 I
-8.4804 2.5087 4.0306 I
-13.0133 -2.2699 -2.4417 I
-8.7163 6.5998 7.8058 I
-2.4358 7.9229 7.9955 I
-3.9652 13.1456 7.1335 I
-11.4276 0.9630 -4.2350 I
-8.9272 4.5288 -0.7225 I
-0.2212 7.9973 5.5761 Sn
-11.7979 5.7564 -0.1966 Sn
-3.0772 8.1806 0.9363 Sn
-5.8226 4.3652 -6.4916 Sn
-2.6754 5.1677 9.5370 Sn
-10.7863 0.7053 2.8242 Sn
-11.1881 3.7182 -5.7765 Sn
-6.7105 -3.5543 -3.6959 Sn
-8.4980 9.5329 3.0454 Sn
-7.8197 -3.4766 4.6760 Sn
-9.8852 -0.3471 8.6330 Sn
-1.1091 0.0777 8.3718 Sn
0.8879 7.9196 -2.7957 Sn
-6.9317 4.4430 1.8802 Sn
-5.3655 -0.6470 0.7151 Sn
0.0000 0.0000 0.0000 Sn
-2.0655 3.1295 3.9571 Sn
-5.0743 0.3387 12.1039 Sn
-3.9783 9.2330 -4.8725 Sn
-8.7892 8.5472 -8.3434 Sn
-10.8969 4.7040 5.6123 Eu
-13.1852 -4.1236 5.3910 Eu
-10.6757 -3.2933 0.0361 Eu
-2.9666 4.1819 -1.8518 Eu
-3.1878 12.1792 3.7244 Eu
-5.5867 7.3503 6.2912 Eu
-11.5767 -2.2409 -5.7727 Eu
-7.8881 7.4947 -2.5345 Eu
-2.2867 11.1268 9.5332 Eu
-8.2768 1.5356 -2.5307 Eu
-5.9754 1.3912 6.2950 Eu
-0.6783 13.0095 -1.6305 Eu
```

Properties
The raw formation energy is -0.54 eV/atom.